A relaxed NaTcC3 crystal. Source: the Alexandria database, functional PBE-GGA.

```
NaTcC3
1.0
-3.501 -0.841 1.419
1.625 -1.186 3.306
-0.283 3.587 1.426
Na C Tc
1 3 1
Direct
0.000 0.000 0.000
0.000 0.500 0.000
0.000 0.000 0.500
0.500 0.000 0.000
0.500 0.500 0.500
```

Computed properties:
symmetry = No. 221
ΔE_f = 19.6 eV/f.u.
total magnetic moment = 0.0 μB/f.u.
total energy = -19.779 eV/cell